This record from the Alexandria database describes a relaxed LaCeY2N4 crystal. The functional is PBE.

```
8
Lattice="3.5658 0.0000 0.0000 0.0000 6.1784 0.1194 0.0000 -2.1523 5.7893" Properties=species:S:1:pos:R:3 pbc="T T T"
N 1.7829 0.9567 1.5058
N 0.0000 4.1634 1.5848
N 1.7829 3.0694 4.4030
N 0.0000 -0.1373 4.3240
La 1.7829 3.0892 0.0597
Ce 0.0000 0.0000 0.0000
Y 1.7829 -1.0761 2.8946
Y 0.0000 2.0130 2.9544
```

Properties
As for the space-group type: P2/m, No. 10. The calculation puts the total DFT energy (no corrections) at -69.3 eV/cell. The value obtained for the energy relative to the elements, uncorrected is -1.53 eV per atom.


This record from the Alexandria database describes a relaxed LaCe2YN4 crystal. The functional is PBE.

```
8
Lattice="-0.0360 1.0755 -3.4212 -6.1985 -0.6786 -0.1481 1.4031 5.7688 1.7987" Properties=species:S:1:pos:R:3 pbc="T T T"
N -4.3725 1.0117 0.3640
N -0.4229 4.0786 1.2866
N -3.6666 4.3141 -0.4851
N -1.1647 1.8516 -1.2855
Y 0.0000 0.0000 0.0000
La -3.1172 0.1985 -1.7846
Ce 0.6835 3.4221 -0.8112
Ce -2.3977 2.5451 0.8253
```

Properties
As for the space-group type: P2/m, No. 10. The calculation puts the total DFT energy (no corrections) at -68.5 eV/cell. The value obtained for the energy relative to the elements, uncorrected is -1.49 eV per atom.


This record from the Alexandria database describes a relaxed LaCeYN3 crystal. The functional is PBE.

```
12
Lattice="3.5608 0.0000 0.0000 0.0000 6.1256 0.2885 0.0000 -2.2747 9.0373" Properties=species:S:1:pos:R:3 pbc="T T T"
N 2.6706 -0.1190 1.3929
N 0.8902 0.8939 7.7023
N 0.8902 3.5022 4.6905
N 2.6706 0.3487 4.6353
N 0.8902 3.9699 7.9329
N 2.6706 2.9570 1.6235
Y 2.6706 -0.7450 8.7186
Y 0.8902 4.5959 0.6072
La 2.6706 2.4757 6.5267
La 0.8902 1.3752 2.7991
Ce 2.6706 4.4105 3.4436
Ce 0.8902 -0.5596 5.8822
```

Properties
As for the space-group type: P2_1/m, No. 11. The calculation puts the total DFT energy (no corrections) at -100.6 eV/cell. The value obtained for the energy relative to the elements, uncorrected is -1.33 eV per atom.